VASP calculation (PBE) on Ce2Nd7Dy2 after structural relaxation.

Cell lengths 8.143, 8.143, 6.112 Å; angles 104.83, 104.83, 92.67 degrees
Positions (direct):
Ce 0.217 0.783 0.000
Ce 0.783 0.217 0.000
Nd 0.000 0.000 0.500
Nd 0.069 0.583 0.318
Nd 0.411 0.411 0.697
Nd 0.417 0.931 0.682
Nd 0.583 0.069 0.318
Nd 0.589 0.589 0.303
Nd 0.931 0.417 0.682
Dy 0.224 0.224 0.079
Dy 0.776 0.776 0.921

Values from the calculation:
**Energy of formation**: 0.191 eV/atom
**Symmetry**: C2/m (12)



VASP calculation (PBE) on KNa9Hg3 after structural relaxation.

Cell lengths 8.809, 8.809, 8.688 Å; angles 97.41, 97.41, 137.68 degrees
Positions (direct):
K 0.000 0.000 0.000
Na 0.000 0.000 0.500
Na 0.003 0.646 0.662
Na 0.294 0.518 0.786
Na 0.354 0.997 0.338
Na 0.482 0.706 0.214
Na 0.518 0.294 0.786
Na 0.646 0.003 0.662
Na 0.706 0.482 0.214
Na 0.997 0.354 0.338
Hg 0.000 0.500 0.000
Hg 0.500 0.000 0.000
Hg 0.500 0.500 0.500

Values from the calculation:
**Energy of formation**: -0.124 eV/atom
**Symmetry**: C2/m (12)



VASP calculation (PBE) on ZrTcSe3 after structural relaxation.

Cell lengths 5.197, 5.197, 5.197 Å; angles 90.00, 90.00, 90.00 degrees
Positions (direct):
Zr 0.000 0.000 0.000
Tc 0.500 0.500 0.500
Se 0.000 0.000 0.500
Se 0.000 0.500 0.000
Se 0.500 0.000 0.000

Values from the calculation:
**Formation energy (no corrections)**: 1.33 eV per formula unit
**Symmetry**: Pm-3m (221)
**Relative energy among the computed polymorphs**: 24 meV/atom



| no. | VASP energy (eV per atom) | DOS(E_F) (states/eV per cell) |
| --- | --- | --- |
| 1 | -4.759 | 24.59 |
| 2 | -1.192 | 5.77 |
| 3 | -5.607 | 1.46 |